## ReP2RuO (PBE)

Data for a relaxed structure of ReP2RuO.

Cell lengths 4.7293, 4.7293, 3.5705 Å; angles 90.00, 90.00, 90.00 degrees
Atoms (fractional coordinates):
Re  0.0000  0.0000  0.0000
P  0.0000  0.5000  0.5000
P  0.5000  0.0000  0.5000
Ru  0.5000  0.5000  0.5000
O  0.5000  0.5000  0.0000

Summary:
ρ (g cm⁻³): 7.594
E_tot (eV/atom): -6.779
E_form (uncorrected) (eV per atom): 0.721
Space group: No. 123
Magnetization (μB/cell): 2.5
Excess energy over the best structure of this formula in the dataset (eV per atom): 0.347



## RePRuO2 (PBE)

Data for a relaxed structure of RePRuO2.

Cell lengths 3.7062, 3.7062, 5.3611 Å; angles 90.00, 90.00, 90.00 degrees
Atoms (fractional coordinates):
Re  0.0000  0.0000  0.0000
P  0.0000  0.0000  0.5000
Ru  0.5000  0.5000  0.5000
O  0.0000  0.5000  0.0000
O  0.5000  0.0000  0.0000

Summary:
ρ (g cm⁻³): 7.898
E_tot (eV/atom): -7.682
E_form (uncorrected) (eV per atom): -0.272
Space group: No. 123
Magnetization (μB/cell): 2.2
Excess energy over the best structure of this formula in the dataset (eV per atom): 0.000



## RePRuO2 (PBE)

Data for a relaxed structure of RePRuO2.

Cell lengths 3.7036, 3.7036, 5.4457 Å; angles 90.00, 90.00, 90.00 degrees
Atoms (fractional coordinates):
Re  0.0000  0.0000  0.0000
P  0.5000  0.5000  0.0000
Ru  0.5000  0.5000  0.5000
O  0.0000  0.5000  0.5000
O  0.5000  0.0000  0.5000

Summary:
ρ (g cm⁻³): 7.786
E_tot (eV/atom): -7.103
E_form (uncorrected) (eV per atom): 0.307
Space group: No. 123
Magnetization (μB/cell): 4.0
Excess energy over the best structure of this formula in the dataset (eV per atom): 0.579



## ReP2SO (PBE)

Data for a relaxed structure of ReP2SO.

Cell lengths 3.9252, 3.9252, 4.2830 Å; angles 90.00, 90.00, 90.00 degrees
Atoms (fractional coordinates):
Re  0.0000  0.0000  0.0000
P  0.0000  0.5000  0.5000
P  0.5000  0.0000  0.5000
S  0.5000  0.5000  0.0000
O  0.5000  0.5000  0.5000

Summary:
ρ (g cm⁻³): 7.454
E_tot (eV/atom): -5.622
E_form (uncorrected) (eV per atom): 0.849
Space group: No. 123
Magnetization (μB/cell): 0.7
Excess energy over the best structure of this formula in the dataset (eV per atom): 0.789



## RePS2O (PBE)

Data for a relaxed structure of RePS2O.

Cell lengths 4.1553, 4.1553, 3.8825 Å; angles 90.00, 90.00, 90.00 degrees
Atoms (fractional coordinates):
Re  0.0000  0.0000  0.0000
P  0.5000  0.5000  0.0000
S  0.0000  0.5000  0.5000
S  0.5000  0.0000  0.5000
O  0.5000  0.5000  0.5000

Summary:
ρ (g cm⁻³): 7.365
E_tot (eV/atom): -5.156
E_form (uncorrected) (eV per atom): 1.058
Space group: No. 123
Magnetization (μB/cell): 0.0
Excess energy over the best structure of this formula in the dataset (eV per atom): 0.201



## RePS2O (PBE)

Data for a relaxed structure of RePS2O.

Cell lengths 4.4713, 4.4713, 4.7657 Å; angles 90.00, 90.00, 90.00 degrees
Atoms (fractional coordinates):
Re  0.0000  0.0000  0.0000
P  0.0000  0.0000  0.5000
S  0.0000  0.5000  0.0000
S  0.5000  0.0000  0.0000
O  0.5000  0.5000  0.5000

Summary:
ρ (g cm⁻³): 5.182
E_tot (eV/atom): -5.357
E_form (uncorrected) (eV per atom): 0.857
Space group: No. 123
Magnetization (μB/cell): 0.0
Excess energy over the best structure of this formula in the dataset (eV per atom): 0.000